Computed, not measured: crystalline Y2Zn2GaNi5 at its relaxed geometry at the PBE-GGA level of DFT.

Structure (POSCAR):
```
Y2Zn2GaNi5
1.0
-0.082 -1.915 -2.936
4.197 -7.044 4.476
-8.343 -3.410 2.457
Y Zn Ga Ni
4 4 2 10
direct
0.000 0.677 0.177
0.000 0.323 0.823
0.000 0.177 0.323
0.000 0.823 0.677
0.000 0.120 0.620
0.000 0.880 0.380
0.000 0.620 0.880
0.000 0.380 0.120
0.000 0.000 0.000
0.000 0.500 0.500
0.500 0.200 0.057
0.500 0.800 0.943
0.500 0.057 0.800
0.500 0.700 0.443
0.500 0.943 0.200
0.500 0.300 0.557
0.500 0.557 0.700
0.500 0.443 0.300
0.500 0.500 0.000
0.500 0.000 0.500
```

The value obtained for the density of states at the Fermi level is 5.917 states/eV/f.u. The value obtained for the energy of formation from the pure elements is -0.2963 eV/atom.


Computed, not measured: crystalline ScNb4 at its relaxed geometry at the PBE-GGA level of DFT.

Structure (POSCAR):
```
ScNb4
1.0
4.706 0.000 0.000
0.000 4.706 0.000
0.000 0.000 4.706
Sc Nb
1 4
direct
0.500 0.500 0.500
0.000 0.000 0.000
0.500 0.000 0.500
0.000 0.500 0.500
0.500 0.500 0.000
```

The value obtained for the density of states at the Fermi level is 8.004 states/eV/f.u. The value obtained for the energy of formation from the pure elements is 1.6319 eV/atom.


Computed, not measured: crystalline Ta4CoIr at its relaxed geometry at the PBE-GGA level of DFT.

Structure (POSCAR):
```
Ta4CoIr
1.0
5.143 0.000 0.000
0.000 6.230 0.000
0.000 0.000 6.230
Ta Co Ir
8 2 2
direct
0.000 0.168 0.651
0.000 0.832 0.349
0.000 0.349 0.168
0.000 0.651 0.832
0.500 0.832 0.651
0.500 0.168 0.349
0.500 0.651 0.168
0.500 0.349 0.832
0.250 0.500 0.500
0.750 0.500 0.500
0.250 0.000 0.000
0.750 0.000 0.000
```

The value obtained for the density of states at the Fermi level is 5.197 states/eV/f.u. The value obtained for the energy of formation from the pure elements is -0.3182 eV/atom.


Computed, not measured: crystalline Sm4Ga2H at its relaxed geometry at the PBE-GGA level of DFT.

Structure (POSCAR):
```
Sm4Ga2H
1.0
-5.745 -1.831 -1.738
1.245 -6.147 2.358
-0.102 3.165 8.302
Sm Ga H
8 4 2
direct
0.525 0.498 0.268
0.095 0.750 0.920
0.905 0.250 0.080
0.525 0.002 0.268
0.928 0.250 0.627
0.475 0.998 0.732
0.475 0.502 0.732
0.072 0.750 0.373
0.693 0.750 0.043
0.307 0.250 0.957
0.232 0.250 0.424
0.768 0.750 0.576
0.262 0.750 0.195
0.738 0.250 0.805
```

For the final energy, the calculation gives -31.40 eV/f.u. The value obtained for the density of states at the Fermi level is 4.922 states/eV/f.u.


Computed, not measured: crystalline Cd2Pd2Pt2Au at its relaxed geometry at the PBE-GGA level of DFT.

Structure (POSCAR):
```
Cd2Pd2Pt2Au
1.0
4.821 0.000 0.000
-2.410 3.749 -0.620
0.000 -2.366 7.038
Cd Pd Pt Au
2 2 2 1
direct
0.571 0.142 0.718
0.429 0.858 0.282
0.141 0.282 0.425
0.859 0.718 0.575
0.715 0.430 0.149
0.285 0.570 0.851
0.000 0.000 0.000
```

The value obtained for the density of states at the Fermi level is 1.858 states/eV/f.u. The value obtained for the energy of formation from the pure elements is -0.1821 eV/atom.


Computed, not measured: crystalline Rb3Hg2Bi3 at its relaxed geometry at the PBE-GGA level of DFT.

Structure (POSCAR):
```
Rb3Hg2Bi3
1.0
-2.162 -0.861 4.596
2.071 -6.406 -3.114
16.991 1.474 8.267
Rb Hg Bi
6 4 6
direct
0.853 0.705 0.400
0.147 0.295 0.900
0.853 0.705 0.100
0.147 0.295 0.600
0.543 0.085 0.250
0.457 0.915 0.750
0.870 0.739 0.875
0.130 0.261 0.375
0.870 0.739 0.625
0.130 0.261 0.125
0.589 0.179 0.453
0.411 0.821 0.953
0.589 0.179 0.047
0.411 0.821 0.547
0.258 0.516 0.250
0.742 0.484 0.750
```

The value obtained for the density of states at the Fermi level is 0.534 states/eV/f.u. The value obtained for the energy of formation from the pure elements is -0.2726 eV/atom.


Computed, not measured: crystalline AcPuOs at its relaxed geometry at the PBE-GGA level of DFT.

Structure (POSCAR):
```
AcPuOs
1.0
3.684 0.000 0.000
0.000 3.684 0.000
-1.842 -1.842 5.861
Ac Os Pu
1 1 1
direct
0.009 0.009 0.018
0.704 0.704 0.408
0.287 0.287 0.574
```

The value obtained for the density of states at the Fermi level is 5.595 states/eV/f.u. The value obtained for the energy of formation from the pure elements is 0.1554 eV/atom.


Computed, not measured: crystalline ZrTiCd at its relaxed geometry at the PBE-GGA level of DFT.

Structure (POSCAR):
```
ZrTiCd
1.0
-3.025 -0.181 -0.092
0.231 -4.424 1.131
1.045 2.273 8.677
Zr Ti Cd
2 2 2
direct
0.393 0.250 0.269
0.607 0.750 0.731
0.033 0.250 0.562
0.967 0.750 0.438
0.191 0.250 0.910
0.809 0.750 0.090
```

The value obtained for the density of states at the Fermi level is 3.015 states/eV/f.u. The value obtained for the energy of formation from the pure elements is -0.0132 eV/atom.